Crystalline La2Cu2Ru at its relaxed geometry, computed with GGA-PBE.

Properties
DFT total energy = -5.542 eV per atom
Space group = I4/mmm, No. 139
Spin magnetization = 0.00 μB per cell

a = 3.4944 Å, b = 3.4944 Å, c = 9.1854 Å
α = 79.03°, β = 79.03°, γ = 90.00°
Atoms (fractional coordinates):
La (0.6010, 0.6010, 0.7980)
La (0.3990, 0.3990, 0.2020)
Ru (0.0000, 0.0000, 0.0000)
Cu (0.7500, 0.2500, 0.5000)
Cu (0.2500, 0.7500, 0.5000)